# 1
## TlSn (GGA-PBEsol)

Data for a relaxed structure of TlSn.

## Properties
Energy of formation (eV/atom): 0.03
Space-group type: Cm (8)

a = 5.798 Å, b = 3.366 Å, c = 5.870 Å
α = 90.00°, β = 108.50°, γ = 90.00°
Fractional positions:
Tl  0.000  0.000  0.000
Tl  0.500  0.500  0.000
Sn  0.497  0.000  0.500
Sn  0.997  0.500  0.500

---

# 2
## AlI3Cl6 (GGA-PBEsol)

Data for a relaxed structure of AlI3Cl6.

## Properties
Space-group type: C2/c (15)
Energy relative to the elements, uncorrected (eV/f.u.): -6.9

a = 14.224 Å, b = 14.224 Å, c = 14.197 Å
α = 103.10°, β = 103.10°, γ = 29.60°
Fractional positions:
Al  0.090  0.175  0.479
Al  0.175  0.090  0.979
Al  0.825  0.910  0.021
Al  0.910  0.825  0.521
I  0.129  0.455  0.661
I  0.208  0.711  0.379
I  0.289  0.792  0.121
I  0.338  0.417  0.267
I  0.417  0.338  0.767
I  0.455  0.129  0.161
I  0.545  0.871  0.839
I  0.583  0.662  0.233
I  0.662  0.583  0.733
I  0.711  0.208  0.879
I  0.792  0.289  0.621
I  0.871  0.545  0.339
Cl  0.013  0.122  0.365
Cl  0.044  0.333  0.961
Cl  0.091  0.134  0.116
Cl  0.095  0.402  0.787
Cl  0.122  0.013  0.865
Cl  0.134  0.091  0.616
Cl  0.156  0.514  0.501
Cl  0.333  0.044  0.461
Cl  0.402  0.095  0.287
Cl  0.446  0.508  0.117
Cl  0.486  0.844  0.999
Cl  0.492  0.554  0.383
Cl  0.508  0.446  0.617
Cl  0.514  0.156  0.001
Cl  0.554  0.492  0.883
Cl  0.598  0.905  0.713
Cl  0.667  0.956  0.539
Cl  0.844  0.486  0.499
Cl  0.866  0.909  0.384
Cl  0.878  0.987  0.135
Cl  0.905  0.598  0.213
Cl  0.909  0.866  0.884
Cl  0.956  0.667  0.039
Cl  0.987  0.878  0.635

---

# 3
## Fe2ReRu (GGA-PBEsol)

Data for a relaxed structure of Fe2ReRu.

## Properties
Energy of formation (eV/atom): 0.18
Space-group type: R-3m (166)

a = 2.622 Å, b = 2.622 Å, c = 25.064 Å
α = 90.00°, β = 90.00°, γ = 120.00°
Fractional positions:
Fe  0.000  0.000  0.249
Fe  0.000  0.000  0.751
Fe  0.333  0.667  0.418
Fe  0.333  0.667  0.915
Fe  0.667  0.333  0.085
Fe  0.667  0.333  0.582
Re  0.000  0.000  0.000
Re  0.333  0.667  0.667
Re  0.667  0.333  0.333
Ru  0.000  0.000  0.500
Ru  0.333  0.667  0.167
Ru  0.667  0.333  0.833

---

# 4
## SiP3I (GGA-PBEsol)

Data for a relaxed structure of SiP3I.

## Properties
Space-group type: Pm-3m (221)
Energy relative to the elements, uncorrected (eV/f.u.): 3.7

a = 4.573 Å, b = 4.573 Å, c = 4.573 Å
α = 90.00°, β = 90.00°, γ = 90.00°
Fractional positions:
Si  0.000  0.000  0.000
P  0.000  0.000  0.500
P  0.000  0.500  0.000
P  0.500  0.000  0.000
I  0.500  0.500  0.500

---

# 5
## Sn5B2Rh6 (GGA-PBEsol)

Data for a relaxed structure of Sn5B2Rh6.

## Properties
Energy of formation (eV/atom): -0.50
Space-group type: P-62m (189)

a = 6.572 Å, b = 6.572 Å, c = 5.544 Å
α = 90.00°, β = 90.00°, γ = 120.00°
Fractional positions:
Sn  0.000  0.596  0.000
Sn  0.333  0.667  0.500
Sn  0.404  0.404  0.000
Sn  0.596  0.000  0.000
Sn  0.667  0.333  0.500
B  0.000  0.000  0.000
B  0.000  0.000  0.500
Rh  0.000  0.252  0.253
Rh  0.000  0.252  0.747
Rh  0.252  0.000  0.253
Rh  0.252  0.000  0.747
Rh  0.748  0.748  0.253
Rh  0.748  0.748  0.747

---

# 6
## OsSe2NCl (GGA-PBEsol)

Data for a relaxed structure of OsSe2NCl.

## Properties
Space-group type: P4/mmm (123)
Energy relative to the elements, uncorrected (eV/f.u.): 2.5

a = 5.026 Å, b = 5.026 Å, c = 3.659 Å
α = 90.00°, β = 90.00°, γ = 90.00°
Fractional positions:
Os  0.000  0.000  0.000
Se  0.000  0.500  0.000
Se  0.500  0.000  0.000
N  0.000  0.000  0.500
Cl  0.500  0.500  0.500

---

# 7
## MgCdNi3 (GGA-PBEsol)

Data for a relaxed structure of MgCdNi3.

## Properties
Energy of formation (eV/atom): 1.14
Space-group type: Pm-3m (221)

a = 4.582 Å, b = 4.582 Å, c = 4.582 Å
α = 90.00°, β = 90.00°, γ = 90.00°
Fractional positions:
Mg  0.000  0.000  0.000
Cd  0.500  0.500  0.500
Ni  0.000  0.500  0.500
Ni  0.500  0.000  0.500
Ni  0.500  0.500  0.000

---

# 8
## ScAlW (GGA-PBEsol)

Data for a relaxed structure of ScAlW.

## Properties
Energy of formation (eV/atom): 0.65
Space-group type: F-43m (216)
Distance to the lowest polymorph of the same formula (meV/atom): 577

a = 6.150 Å, b = 6.150 Å, c = 6.150 Å
α = 90.00°, β = 90.00°, γ = 90.00°
Fractional positions:
Sc  0.000  0.000  0.000
Sc  0.000  0.500  0.500
Sc  0.500  0.000  0.500
Sc  0.500  0.500  0.000
Al  0.250  0.250  0.750
Al  0.250  0.750  0.250
Al  0.750  0.250  0.250
Al  0.750  0.750  0.750
W  0.000  0.000  0.500
W  0.000  0.500  0.000
W  0.500  0.000  0.000
W  0.500  0.500  0.500

---

Total magnetic moment for every record listed, in sequence, given in Bohr magnetons per cell: 0.0, 0.0, 8.9, 0.0, 0.0, 0.0, 0.0, 0.0.